Density functional theory data (GGA-PBE) for a relaxed structure of MnAgSn.

```
MnAgSn
1.0
2.9429 0.0000 0.0000
0.0000 2.9429 0.0000
0.0000 0.0000 12.1788
Mn Ag Sn
2 2 2
direct
0.2500 0.2500 0.0482
0.7500 0.7500 0.9518
0.2500 0.2500 0.4142
0.7500 0.7500 0.5858
0.2500 0.2500 0.7935
0.7500 0.7500 0.2065
```

Computed properties:
magnetization: 0.0 Bohr magnetons per cell
E: -5.12 eV per atom
formation enthalpy at 0 K: 0.220 eV per atom